(1)
The following is a DFT calculation (GGA-PBEsol) of a relaxed Mg2AlCd crystal.

DFT total energy, eV per atom: -2.22
E_form, eV per atom: -0.041
Energy above the lowest structure with this stoichiometry, eV/atom: 0.000
N(E_F), states/eV per atom: 0.349

The structure in CIF format:
```
data_Mg2AlCd
_chemical_formula_sum 'Mg2 Al1 Cd1'
_cell_length_a 3.032
_cell_length_b 4.275
_cell_length_c 6.130
_cell_angle_alpha 90.00
_cell_angle_beta 90.00
_cell_angle_gamma 90.00
_space_group_name_H-M_alt 'P 1'
_space_group_IT_number 1
_space_group_name_Hall 'P 1'
loop_
_atom_site_label
_atom_site_fract_x
_atom_site_fract_y
_atom_site_fract_z
Mg1 0.000 0.000 0.246
Mg2 0.000 0.000 0.754
Al1 0.500 0.500 0.000
Cd1 0.500 0.500 0.500
```

(2)
The following is a DFT calculation (GGA-PBEsol) of a relaxed Mn2AlCd crystal.

DFT total energy, eV per atom: -6.02
E_form, eV per atom: 0.183
N(E_F), states/eV per atom: 0.634

The structure in CIF format:
```
data_Mn2AlCd
_chemical_formula_sum 'Mn2 Al1 Cd1'
_cell_length_a 3.945
_cell_length_b 3.945
_cell_length_c 3.723
_cell_angle_alpha 90.00
_cell_angle_beta 90.00
_cell_angle_gamma 90.00
_space_group_name_H-M_alt 'P 1'
_space_group_IT_number 1
_space_group_name_Hall 'P 1'
loop_
_atom_site_label
_atom_site_fract_x
_atom_site_fract_y
_atom_site_fract_z
Mn1 0.000 0.500 0.000
Mn2 0.500 0.000 0.000
Al1 0.000 0.000 0.500
Cd1 0.500 0.500 0.500
```

(3)
The following is a DFT calculation (GGA-PBEsol) of a relaxed MnAl2Cd crystal.

DFT total energy, eV per atom: -4.71
E_form, eV per atom: 0.079
N(E_F), states/eV per atom: 0.446

The structure in CIF format:
```
data_MnAl2Cd
_chemical_formula_sum 'Mn1 Al2 Cd1'
_cell_length_a 4.836
_cell_length_b 4.836
_cell_length_c 4.836
_cell_angle_alpha 132.87
_cell_angle_beta 132.87
_cell_angle_gamma 68.85
_space_group_name_H-M_alt 'P 1'
_space_group_IT_number 1
_space_group_name_Hall 'P 1'
loop_
_atom_site_label
_atom_site_fract_x
_atom_site_fract_y
_atom_site_fract_z
Mn1 0.000 0.000 0.000
Al1 0.250 0.750 0.500
Al2 0.750 0.250 0.500
Cd1 0.500 0.500 0.000
```

(4)
The following is a DFT calculation (GGA-PBEsol) of a relaxed MnAlCd3 crystal.

DFT total energy, eV per atom: -2.66
E_form, eV per atom: 0.832
N(E_F), states/eV per atom: 1.081

The structure in CIF format:
```
data_MnAlCd3
_chemical_formula_sum 'Mn1 Al1 Cd3'
_cell_length_a 5.042
_cell_length_b 5.042
_cell_length_c 5.042
_cell_angle_alpha 90.00
_cell_angle_beta 90.00
_cell_angle_gamma 90.00
_space_group_name_H-M_alt 'P 1'
_space_group_IT_number 1
_space_group_name_Hall 'P 1'
loop_
_atom_site_label
_atom_site_fract_x
_atom_site_fract_y
_atom_site_fract_z
Mn1 0.000 0.000 0.000
Al1 0.500 0.500 0.500
Cd1 0.000 0.000 0.500
Cd2 0.000 0.500 0.000
Cd3 0.500 0.000 0.000
```

(5)
The following is a DFT calculation (GGA-PBEsol) of a relaxed MnAl2Cd crystal.

DFT total energy, eV per atom: -4.47
E_form, eV per atom: 0.311
N(E_F), states/eV per atom: 0.903

The structure in CIF format:
```
data_MnAl2Cd
_chemical_formula_sum 'Mn1 Al2 Cd1'
_cell_length_a 4.526
_cell_length_b 4.526
_cell_length_c 4.526
_cell_angle_alpha 60.00
_cell_angle_beta 60.00
_cell_angle_gamma 60.00
_space_group_name_H-M_alt 'P 1'
_space_group_IT_number 1
_space_group_name_Hall 'P 1'
loop_
_atom_site_label
_atom_site_fract_x
_atom_site_fract_y
_atom_site_fract_z
Mn1 0.000 0.000 0.000
Al1 0.250 0.250 0.250
Al2 0.500 0.500 0.500
Cd1 0.750 0.750 0.750
```

(6)
The following is a DFT calculation (GGA-PBEsol) of a relaxed AlCd2Mo crystal.

DFT total energy, eV per atom: -4.30
E_form, eV per atom: 0.262
N(E_F), states/eV per atom: 0.663

The structure in CIF format:
```
data_AlCd2Mo
_chemical_formula_sum 'Al1 Cd2 Mo1'
_cell_length_a 3.250
_cell_length_b 3.250
_cell_length_c 6.685
_cell_angle_alpha 90.00
_cell_angle_beta 90.00
_cell_angle_gamma 90.00
_space_group_name_H-M_alt 'P 1'
_space_group_IT_number 1
_space_group_name_Hall 'P 1'
loop_
_atom_site_label
_atom_site_fract_x
_atom_site_fract_y
_atom_site_fract_z
Al1 0.000 0.000 0.000
Cd1 0.000 0.000 0.553
Cd2 0.500 0.500 0.275
Mo1 0.500 0.500 0.822
```

(7)
The following is a DFT calculation (GGA-PBEsol) of a relaxed AlCd2Mo crystal.

DFT total energy, eV per atom: -4.32
E_form, eV per atom: 0.246
N(E_F), states/eV per atom: 0.644

The structure in CIF format:
```
data_AlCd2Mo
_chemical_formula_sum 'Al1 Cd2 Mo1'
_cell_length_a 5.684
_cell_length_b 5.684
_cell_length_c 5.684
_cell_angle_alpha 149.12
_cell_angle_beta 132.14
_cell_angle_gamma 58.05
_space_group_name_H-M_alt 'P 1'
_space_group_IT_number 1
_space_group_name_Hall 'P 1'
loop_
_atom_site_label
_atom_site_fract_x
_atom_site_fract_y
_atom_site_fract_z
Al1 0.000 0.000 0.000
Cd1 0.249 0.749 0.500
Cd2 0.751 0.251 0.500
Mo1 0.500 0.500 0.000
```

(8)
The following is a DFT calculation (GGA-PBEsol) of a relaxed AlCd2Mo crystal.

DFT total energy, eV per atom: -4.36
E_form, eV per atom: 0.201
N(E_F), states/eV per atom: 0.764

The structure in CIF format:
```
data_AlCd2Mo
_chemical_formula_sum 'Al1 Cd2 Mo1'
_cell_length_a 3.928
_cell_length_b 3.928
_cell_length_c 4.411
_cell_angle_alpha 90.00
_cell_angle_beta 90.00
_cell_angle_gamma 90.00
_space_group_name_H-M_alt 'P 1'
_space_group_IT_number 1
_space_group_name_Hall 'P 1'
loop_
_atom_site_label
_atom_site_fract_x
_atom_site_fract_y
_atom_site_fract_z
Al1 0.000 0.000 0.000
Cd1 0.000 0.500 0.500
Cd2 0.500 0.000 0.500
Mo1 0.500 0.500 0.000
```

(9)
The following is a DFT calculation (GGA-PBEsol) of a relaxed AlCd2Mo crystal.

DFT total energy, eV per atom: -4.12
E_form, eV per atom: 0.442
N(E_F), states/eV per atom: 1.093

The structure in CIF format:
```
data_AlCd2Mo
_chemical_formula_sum 'Al1 Cd2 Mo1'
_cell_length_a 4.606
_cell_length_b 4.606
_cell_length_c 4.606
_cell_angle_alpha 60.00
_cell_angle_beta 60.00
_cell_angle_gamma 60.00
_space_group_name_H-M_alt 'P 1'
_space_group_IT_number 1
_space_group_name_Hall 'P 1'
loop_
_atom_site_label
_atom_site_fract_x
_atom_site_fract_y
_atom_site_fract_z
Al1 0.000 0.000 0.000
Cd1 0.250 0.250 0.250
Cd2 0.500 0.500 0.500
Mo1 0.750 0.750 0.750
```

(10)
The following is a DFT calculation (GGA-PBEsol) of a relaxed AlCd2Mo crystal.

DFT total energy, eV per atom: -4.38
E_form, eV per atom: 0.185
N(E_F), states/eV per atom: 0.574

The structure in CIF format:
```
data_AlCd2Mo
_chemical_formula_sum 'Al1 Cd2 Mo1'
_cell_length_a 2.803
_cell_length_b 4.320
_cell_length_c 5.930
_cell_angle_alpha 90.00
_cell_angle_beta 103.56
_cell_angle_gamma 90.00
_space_group_name_H-M_alt 'P 1'
_space_group_IT_number 1
_space_group_name_Hall 'P 1'
loop_
_atom_site_label
_atom_site_fract_x
_atom_site_fract_y
_atom_site_fract_z
Al1 0.000 0.000 0.000
Cd1 0.154 0.500 0.308
Cd2 0.772 0.000 0.544
Mo1 0.422 0.500 0.842
```

(11)
The following is a DFT calculation (GGA-PBEsol) of a relaxed Al2CdReMo crystal.

DFT total energy, eV per atom: -4.82
E_form, eV per atom: 2.081
N(E_F), states/eV per atom: 0.635

The structure in CIF format:
```
data_Al2CdReMo
_chemical_formula_sum 'Al2 Cd1 Re1 Mo1'
_cell_length_a 4.578
_cell_length_b 4.578
_cell_length_c 4.988
_cell_angle_alpha 90.00
_cell_angle_beta 90.00
_cell_angle_gamma 90.00
_space_group_name_H-M_alt 'P 1'
_space_group_IT_number 1
_space_group_name_Hall 'P 1'
loop_
_atom_site_label
_atom_site_fract_x
_atom_site_fract_y
_atom_site_fract_z
Al1 0.000 0.500 0.000
Al2 0.500 0.000 0.000
Cd1 0.000 0.000 0.000
Re1 0.000 0.000 0.500
Mo1 0.500 0.500 0.500
```

(12)
The following is a DFT calculation (GGA-PBEsol) of a relaxed AlCdTe2N crystal.

DFT total energy, eV per atom: -3.13
Formation energy from raw total energies, eV per atom: 1.04
N(E_F), states/eV per atom: 0.889

The structure in CIF format:
```
data_AlCdTe2N
_chemical_formula_sum 'Al1 Cd1 Te2 N1'
_cell_length_a 5.680
_cell_length_b 5.680
_cell_length_c 4.004
_cell_angle_alpha 90.00
_cell_angle_beta 90.00
_cell_angle_gamma 90.00
_space_group_name_H-M_alt 'P 1'
_space_group_IT_number 1
_space_group_name_Hall 'P 1'
loop_
_atom_site_label
_atom_site_fract_x
_atom_site_fract_y
_atom_site_fract_z
Al1 0.000 0.000 0.000
Cd1 0.500 0.500 0.500
Te1 0.000 0.500 0.500
Te2 0.500 0.000 0.500
N1 0.500 0.500 0.000
```